[1]
The following is a PBE calculation of an optimized crystal structure of Ac8Si3NCl3, from the Alexandria database.

Results
**E_form (uncorrected)**: -0.99 eV/atom

a b c (Å): 8.829 8.829 8.899
angles (deg): 119.74 90.00 120.00
Sites, in units of the cell vectors:
Ac (0.256, 0.511, 0.267)
Ac (0.235, 0.010, 0.285)
Ac (0.225, 0.449, 0.715)
Cl (0.500, 0.500, 0.000)
N (0.000, 0.000, 0.500)
Ac (0.775, 0.010, 0.285)
Si (0.500, 0.000, 0.500)
Si (0.500, 0.500, 0.500)
Ac (0.775, 0.551, 0.285)
Si (0.000, 0.500, 0.500)
Cl (0.000, 0.000, 0.000)
Ac (0.765, 0.990, 0.715)
Cl (0.000, 0.500, 0.000)
Ac (0.744, 0.489, 0.733)
Ac (0.225, 0.990, 0.715)


[2]
The following is a PBE calculation of an optimized crystal structure of Nd6SbAs2P3, from the Alexandria database.

Results
**E_form (uncorrected)**: -1.45 eV/atom

a b c (Å): 4.253 8.546 9.537
angles (deg): 103.15 102.88 90.00
Sites, in units of the cell vectors:
As (0.167, 0.334, 0.334)
P (0.500, 0.500, 0.000)
Nd (0.001, 0.735, 0.003)
Nd (0.999, 0.265, 0.997)
As (0.833, 0.666, 0.666)
Nd (0.666, 0.587, 0.332)
Sb (0.500, 0.000, 0.000)
P (0.834, 0.168, 0.668)
Nd (0.673, 0.083, 0.346)
Nd (0.327, 0.917, 0.654)
P (0.166, 0.832, 0.332)
Nd (0.334, 0.413, 0.668)


[3]
The following is a PBE calculation of an optimized crystal structure of LiBe2Rh, from the Alexandria database.

Results
**Calculated formation energy**: -1.394 eV per formula unit

a b c (Å): 6.108 3.839 2.822
angles (deg): 89.91 62.61 128.79
Sites, in units of the cell vectors:
Li (0.000, 0.500, 0.500)
Be (0.000, 0.000, 0.000)
Be (0.500, 0.000, 0.500)
Rh (0.500, 0.500, 0.000)


[4]
The following is a PBE calculation of an optimized crystal structure of MnTlBr2, from the Alexandria database.

Results
**E_form (uncorrected)**: -0.42 eV/atom

a b c (Å): 6.564 6.564 6.071
angles (deg): 62.51 62.51 32.60
Last column: magnetic moment on the atom in μB.
Sites, in units of the cell vectors:
Mn (0.750, 0.750, 0.750)  4.12
Tl (0.250, 0.250, 0.250)  -0.02
Br (0.415, 0.415, 0.586)  0.06
Br (0.085, 0.085, 0.914)  0.06


Q: Which formula does entry 4 have?
A: MnTlBr2